No. 1
Below is crystalline CrSbRu2 at its relaxed geometry, with properties calculated at the PBE level.

POSCAR file:
```
CrSbRu2
1.0
4.635 -1.529 0.000
4.635 1.529 0.000
-1.316 0.000 4.357
Cr Sb Ru
1 1 2
Cartesian
0.000 0.000 0.000
1.475 0.000 2.773
4.037 0.000 2.127
6.660 0.000 0.498
```

Output
formation energy from raw total energies	0.1243	eV per atom

---

No. 2
Below is crystalline Cr2SbRu at its relaxed geometry, with properties calculated at the PBE level.

POSCAR file:
```
Cr2SbRu
1.0
-1.861 1.861 4.175
1.861 -1.861 4.175
1.861 1.861 -4.175
Cr Sb Ru
2 1 1
Cartesian
1.861 0.000 2.088
0.000 1.861 2.088
0.000 0.000 0.000
0.000 0.000 4.175
```

Output
formation energy from raw total energies	0.2651	eV per atom

---

No. 3
Below is crystalline CrSb2Ru at its relaxed geometry, with properties calculated at the PBE level.

POSCAR file:
```
CrSb2Ru
1.0
3.235 0.000 0.000
0.000 3.235 0.000
0.000 0.000 7.917
Cr Sb Ru
1 2 1
Cartesian
0.000 0.000 0.000
0.000 0.000 3.066
1.617 1.617 6.321
1.617 1.617 1.487
```

Output
formation energy from raw total energies	0.1341	eV per atom

---

No. 4
Below is crystalline CrSb3Ru at its relaxed geometry, with properties calculated at the PBE level.

POSCAR file:
```
CrSb3Ru
1.0
5.084 0.000 0.000
0.000 5.084 0.000
0.000 0.000 5.084
Cr Sb Ru
1 3 1
Cartesian
0.000 0.000 0.000
0.000 2.542 2.542
2.542 0.000 2.542
2.542 2.542 0.000
2.542 2.542 2.542
```

Output
formation energy from raw total energies	1.2020	eV per atom

---

No. 5
Below is crystalline Cr2SbRu2 at its relaxed geometry, with properties calculated at the PBE level.

POSCAR file:
```
Cr2SbRu2
1.0
-1.989 1.989 4.969
1.989 -1.989 4.969
1.989 1.989 -4.969
Cr Sb Ru
2 1 2
Cartesian
0.000 0.000 1.103
0.000 0.000 8.835
0.000 0.000 4.969
1.989 0.000 2.484
0.000 1.989 2.484
```

Output
formation energy from raw total energies	0.3341	eV per atom

---

No. 6
Below is crystalline CrSbRu2 at its relaxed geometry, with properties calculated at the PBE level.

POSCAR file:
```
CrSbRu2
1.0
3.002 0.000 0.000
0.000 3.002 0.000
0.000 0.000 6.702
Cr Sb Ru
1 1 2
Cartesian
0.000 0.000 0.000
1.501 1.501 4.935
0.000 0.000 3.260
1.501 1.501 1.463
```

Output
formation energy from raw total energies	0.3378	eV per atom

---

No. 7
Below is crystalline CrSbRu4 at its relaxed geometry, with properties calculated at the PBE level.

POSCAR file:
```
CrSbRu4
1.0
0.000 3.650 3.650
3.650 0.000 3.650
3.650 3.650 0.000
Cr Sb Ru
1 1 4
Cartesian
0.000 0.000 0.000
1.825 1.825 1.825
4.565 2.734 2.734
2.734 4.565 2.734
2.734 2.734 4.565
4.565 4.565 4.565
```

Output
formation energy from raw total energies	0.5418	eV per atom

---

No. 8
Below is crystalline CrSb2Ru at its relaxed geometry, with properties calculated at the PBE level.

POSCAR file:
```
CrSb2Ru
1.0
4.478 0.000 0.000
0.000 3.269 0.000
-2.095 0.000 5.102
Cr Sb Ru
1 2 1
Cartesian
0.000 0.000 0.000
-1.047 0.000 2.551
2.239 1.634 0.000
1.192 1.634 2.551
```

Output
formation energy from raw total energies	0.2448	eV per atom

---

No. 9
Below is crystalline CrSi2SbRu at its relaxed geometry, with properties calculated at the PBE level.

POSCAR file:
```
CrSi2SbRu
1.0
4.379 0.000 0.000
0.000 4.379 0.000
0.000 0.000 4.997
Cr Si Sb Ru
1 2 1 1
Cartesian
0.000 0.000 0.000
0.000 2.189 0.000
2.189 0.000 0.000
0.000 0.000 2.498
2.189 2.189 2.498
```

Output
formation energy from raw total energies	0.9073	eV per atom

---

No. 10
Below is crystalline ScCrRu3 at its relaxed geometry, with properties calculated at the PBE level.

POSCAR file:
```
ScCrRu3
1.0
4.430 0.000 0.000
0.000 4.430 0.000
0.000 0.000 4.430
Sc Cr Ru
1 1 3
Cartesian
0.000 0.000 0.000
2.215 2.215 2.215
0.000 2.215 2.215
2.215 0.000 2.215
2.215 2.215 0.000
```

Output
calculated formation energy	51.9	kJ/mol of atoms

---

No. 11
Below is crystalline ScCr2Ru at its relaxed geometry, with properties calculated at the PBE level.

POSCAR file:
```
ScCr2Ru
1.0
2.453 -4.327 0.000
2.453 4.327 0.000
0.000 0.000 2.707
Sc Cr Ru
1 2 1
Cartesian
0.000 0.000 0.000
1.227 2.163 1.354
1.227 -2.163 1.354
2.453 0.000 0.000
```

Output
calculated formation energy	31.2	kJ/mol of atoms

---

No. 12
Below is crystalline Sc2CrRu at its relaxed geometry, with properties calculated at the PBE level.

POSCAR file:
```
Sc2CrRu
1.0
-3.621 3.621 2.923
3.621 -3.621 2.923
3.621 3.621 -2.923
Sc Cr Ru
4 2 2
Cartesian
5.431 1.608 -0.731
1.608 1.810 0.731
-1.810 2.013 2.192
2.013 1.810 3.654
3.621 0.000 1.462
0.000 0.000 2.923
0.000 0.000 0.000
0.000 3.621 1.462
```

Output
calculated formation energy	29.9	kJ/mol of atoms

---

No. 13
Below is crystalline ScCr2Ru at its relaxed geometry, with properties calculated at the PBE level.

POSCAR file:
```
ScCr2Ru
1.0
1.532 -2.286 0.000
1.532 2.286 0.000
0.000 0.000 8.211
Sc Cr Ru
1 2 1
Cartesian
0.000 0.000 0.000
0.000 0.000 4.203
1.532 0.000 5.881
1.532 0.000 2.193
```

Output
calculated formation energy	19.2	kJ/mol of atoms

---

No. 14
Below is crystalline Sc6CrRu5 at its relaxed geometry, with properties calculated at the PBE level.

POSCAR file:
```
Sc6CrRu5
1.0
4.551 0.000 0.000
0.000 6.494 0.000
-2.290 0.000 6.849
Sc Cr Ru
6 1 5
Cartesian
0.000 1.546 0.000
0.000 4.948 0.000
-0.009 1.596 4.501
-0.009 4.898 4.501
2.270 1.596 2.347
2.270 4.898 2.347
2.276 3.247 0.000
-0.008 3.247 2.203
-0.005 0.000 2.283
2.276 0.000 0.000
2.267 0.000 4.565
2.270 3.247 4.646
```

Output
calculated formation energy	-43.7	kJ/mol of atoms

---

No. 15
Below is crystalline Sc2CrRu at its relaxed geometry, with properties calculated at the PBE level.

POSCAR file:
```
Sc2CrRu
1.0
1.572 0.907 8.553
-1.572 0.907 8.553
0.000 -1.815 8.553
Sc Cr Ru
2 1 1
Cartesian
0.000 0.000 6.244
0.000 0.000 19.416
0.000 0.000 0.000
0.000 0.000 12.830
```

Output
calculated formation energy	15.6	kJ/mol of atoms

---

No. 16
Below is crystalline ScCr2Ru at its relaxed geometry, with properties calculated at the PBE level.

POSCAR file:
```
ScCr2Ru
1.0
3.111 0.000 0.000
0.000 4.183 0.000
0.000 0.000 4.579
Sc Cr Ru
1 2 1
Cartesian
0.000 0.000 0.000
0.000 2.092 2.289
1.556 0.000 2.289
1.556 2.092 0.000
```

Output
calculated formation energy	-0.5	kJ/mol of atoms

---

No. 17
Below is crystalline Sc2CrRu at its relaxed geometry, with properties calculated at the PBE level.

POSCAR file:
```
Sc2CrRu
1.0
-1.945 1.945 4.673
1.945 -1.945 4.673
1.945 1.945 -4.673
Sc Cr Ru
2 1 1
Cartesian
0.000 0.000 0.000
0.000 1.945 2.337
1.945 0.000 2.337
0.000 0.000 4.673
```

Output
calculated formation energy	3.0	kJ/mol of atoms

---

No. 18
Below is crystalline ScCr2Ru at its relaxed geometry, with properties calculated at the PBE level.

POSCAR file:
```
ScCr2Ru
1.0
-1.512 2.099 4.470
1.512 -2.099 4.470
1.512 2.099 -4.470
Sc Cr Ru
1 2 1
Cartesian
0.000 0.000 0.000
1.512 0.000 2.315
0.000 2.099 2.155
0.000 0.000 4.470
```

Output
calculated formation energy	3.9	kJ/mol of atoms

---

No. 19
Below is crystalline ScCr3Ru at its relaxed geometry, with properties calculated at the PBE level.

POSCAR file:
```
ScCr3Ru
1.0
4.607 0.000 0.000
0.000 4.607 0.000
0.000 0.000 4.607
Sc Cr Ru
1 3 1
Cartesian
0.000 0.000 0.000
0.000 2.303 2.303
2.303 0.000 2.303
2.303 2.303 0.000
2.303 2.303 2.303
```

Output
calculated formation energy	94.3	kJ/mol of atoms

---

No. 20
Below is crystalline ScCr2Ru at its relaxed geometry, with properties calculated at the PBE level.

POSCAR file:
```
ScCr2Ru
1.0
4.318 0.000 0.000
0.000 4.318 0.000
0.000 0.000 3.017
Sc Cr Ru
1 2 1
Cartesian
0.000 0.000 0.000
0.000 2.159 1.509
2.159 0.000 1.509
2.159 2.159 0.000
```

Output
calculated formation energy	23.4	kJ/mol of atoms

---

No. 21
Below is crystalline Sc2CrRu at its relaxed geometry, with properties calculated at the PBE level.

POSCAR file:
```
Sc2CrRu
1.0
-1.586 2.269 4.785
1.586 -2.269 4.785
1.586 2.269 -4.785
Sc Cr Ru
2 1 1
Cartesian
0.000 0.000 0.000
0.000 2.269 2.107
1.586 0.000 2.602
0.000 0.000 4.579
```

Output
calculated formation energy	-13.4	kJ/mol of atoms

---

No. 22
Below is crystalline ScCr2Ru at its relaxed geometry, with properties calculated at the PBE level.

POSCAR file:
```
ScCr2Ru
1.0
1.438 0.830 8.190
-1.438 0.830 8.190
0.000 -1.661 8.190
Sc Cr Ru
1 2 1
Cartesian
0.000 0.000 0.000
0.000 0.000 5.857
0.000 0.000 12.441
0.000 0.000 18.658
```

Output
calculated formation energy	28.0	kJ/mol of atoms

---

No. 23
Below is crystalline ScCr2Ru at its relaxed geometry, with properties calculated at the PBE level.

POSCAR file:
```
ScCr2Ru
1.0
2.537 -4.291 0.000
2.537 4.291 0.000
-0.899 0.000 2.591
Sc Cr Ru
1 2 1
Cartesian
0.000 0.000 0.000
0.819 2.145 1.296
0.819 -2.145 1.296
2.537 0.000 0.000
```

Output
calculated formation energy	17.2	kJ/mol of atoms

---

No. 24
Below is crystalline ScCr2Ru at its relaxed geometry, with properties calculated at the PBE level.

POSCAR file:
```
ScCr2Ru
1.0
2.822 0.000 0.000
0.000 4.163 0.000
0.000 0.000 5.165
Sc Cr Ru
1 2 1
Cartesian
0.000 0.000 0.000
1.411 2.081 1.587
1.411 2.081 3.578
0.000 0.000 2.583
```

Output
calculated formation energy	27.7	kJ/mol of atoms

---

No. 25
Below is crystalline ScCr2Ru at its relaxed geometry, with properties calculated at the PBE level.

POSCAR file:
```
ScCr2Ru
1.0
-3.506 3.506 2.571
3.506 -3.506 2.571
3.506 3.506 -2.571
Sc Cr Ru
2 4 2
Cartesian
0.000 0.000 0.000
0.000 3.506 1.286
1.753 2.041 -0.643
4.972 1.753 0.643
1.753 1.466 1.928
-1.466 1.753 3.214
3.506 0.000 1.286
0.000 0.000 2.571
```

Output
calculated formation energy	52.8	kJ/mol of atoms

---

No. 26
Below is crystalline Sc2CrRu at its relaxed geometry, with properties calculated at the PBE level.

POSCAR file:
```
Sc2CrRu
1.0
4.568 0.000 0.000
0.000 4.568 0.000
0.000 0.000 3.307
Sc Cr Ru
2 1 1
Cartesian
0.000 2.284 0.000
2.284 0.000 0.000
0.000 0.000 1.654
2.284 2.284 1.654
```

Output
calculated formation energy	-16.2	kJ/mol of atoms

---

No. 27
Below is crystalline Sc2CrRu3 at its relaxed geometry, with properties calculated at the PBE level.

POSCAR file:
```
Sc2CrRu3
1.0
5.286 0.000 0.000
-2.643 4.578 0.000
0.000 0.000 7.930
Sc Cr Ru
4 2 6
Cartesian
0.000 3.052 0.495
0.000 3.052 3.470
2.643 1.526 4.460
2.643 1.526 7.435
0.000 0.000 0.000
0.000 0.000 3.965
0.000 1.561 5.947
-1.291 3.797 5.947
1.351 0.780 1.982
1.291 3.797 5.947
3.934 0.780 1.982
2.643 3.017 1.982
```

Output
calculated formation energy	-33.0	kJ/mol of atoms

---

No. 28
Below is crystalline ScCr2Ru at its relaxed geometry, with properties calculated at the PBE level.

POSCAR file:
```
ScCr2Ru
1.0
2.749 0.000 0.000
0.000 4.281 0.000
-1.107 0.000 4.812
Sc Cr Ru
1 2 1
Cartesian
0.000 0.000 0.000
-0.105 2.140 3.589
1.747 2.140 1.223
0.821 0.000 2.406
```

Output
calculated formation energy	15.8	kJ/mol of atoms

---

No. 29
Below is crystalline Sc2CrRu at its relaxed geometry, with properties calculated at the PBE level.

POSCAR file:
```
Sc2CrRu
1.0
0.000 3.243 3.243
3.243 0.000 3.243
3.243 3.243 0.000
Sc Cr Ru
2 1 1
Cartesian
0.000 0.000 0.000
1.621 1.621 1.621
4.864 4.864 4.864
3.243 3.243 3.243
```

Output
calculated formation energy	7.8	kJ/mol of atoms

---

Number 1: magnetic moment 1.84 μB per formula unit, total energy -31.800 eV per cell. Number 2: magnetic moment 0.00 μB per formula unit, total energy -31.584 eV per cell. Number 3: magnetic moment 3.32 μB per formula unit, total energy -26.607 eV per cell. Number 4: magnetic moment 0.36 μB per formula unit, total energy -25.257 eV per cell. Number 5: magnetic moment 0.00 μB per formula unit, total energy -40.250 eV per cell. Number 6: magnetic moment 0.00 μB per formula unit, total energy -30.946 eV per cell. Number 7: magnetic moment 0.79 μB per formula unit, total energy -47.598 eV per cell. Number 8: magnetic moment 2.75 μB per formula unit, total energy -26.165 eV per cell. Number 9: magnetic moment 2.62 μB per formula unit, total energy -29.331 eV per cell. Number 10: magnetic moment 0.00 μB per formula unit, total energy -41.092 eV per cell. Number 11: magnetic moment 0.01 μB per formula unit, total energy -33.559 eV per cell. Number 12: magnetic moment 3.94 μB per formula unit, total energy -60.644 eV per cell. Number 13: magnetic moment 0.00 μB per formula unit, total energy -34.058 eV per cell. Number 14: magnetic moment 4.15 μB per formula unit, total energy -99.426 eV per cell. Number 15: magnetic moment 3.19 μB per formula unit, total energy -30.916 eV per cell. Number 16: magnetic moment 0.51 μB per formula unit, total energy -34.874 eV per cell. Number 17: magnetic moment 3.68 μB per formula unit, total energy -31.439 eV per cell. Number 18: magnetic moment 0.00 μB per formula unit, total energy -34.693 eV per cell. Number 19: magnetic moment 7.66 μB per formula unit, total energy -39.593 eV per cell. Number 20: magnetic moment 0.30 μB per formula unit, total energy -33.883 eV per cell. Number 21: magnetic moment 1.63 μB per formula unit, total energy -32.117 eV per cell. Number 22: magnetic moment 0.00 μB per formula unit, total energy -33.693 eV per cell. Number 23: magnetic moment 0.00 μB per formula unit, total energy -34.141 eV per cell. Number 24: magnetic moment 0.00 μB per formula unit, total energy -33.707 eV per cell. Number 25: magnetic moment 0.15 μB per formula unit, total energy -65.330 eV per cell. Number 26: magnetic moment 3.25 μB per formula unit, total energy -32.234 eV per cell. Number 27: magnetic moment 0.00 μB per formula unit, total energy -104.334 eV per cell. Number 28: magnetic moment 0.00 μB per formula unit, total energy -34.198 eV per cell. Number 29: magnetic moment 2.82 μB per formula unit, total energy -31.237 eV per cell.